No. 1
Density functional theory data (PBE) for a geometry-optimized YTmScZn structure.

The structure in extended XYZ format:
```
4
Lattice="3.496 0.000 0.000 0.000 3.496 0.000 0.000 0.000 8.271" Properties=species:S:1:pos:R:3 pbc="T T T"
Y 1.748 1.748 6.523
Tm 1.748 1.748 2.932
Sc 0.000 0.000 0.629
Zn 0.000 0.000 4.678
```

* ΔE to the lowest computed polymorph: 0 meV per atom

No. 2
Density functional theory data (PBE) for a geometry-optimized YTmScZn structure.

The structure in extended XYZ format:
```
4
Lattice="5.194 0.000 0.000 2.597 4.499 0.000 2.597 1.500 4.241" Properties=species:S:1:pos:R:3 pbc="T T T"
Y 5.194 2.999 2.121
Sc 2.597 1.500 1.060
Zn 7.792 4.499 3.181
Tm 0.000 0.000 0.000
```

* ΔE to the lowest computed polymorph: 145 meV per atom

No. 3
Density functional theory data (PBE) for a geometry-optimized Y2Tm6ZrSc3 structure.

The structure in extended XYZ format:
```
12
Lattice="-1.712 5.668 -0.339 0.477 -3.248 -4.939 -10.185 -3.940 2.787" Properties=species:S:1:pos:R:3 pbc="T T T"
Y -0.252 -0.278 -3.407
Y -0.983 2.698 -1.871
Tm -8.878 0.339 -1.134
Tm -3.521 0.835 -3.294
Tm -2.542 -1.859 -1.356
Tm -8.161 -2.577 -2.639
Tm -7.899 -2.355 0.804
Tm -3.259 1.058 0.149
Zr 0.000 0.000 0.000
Sc -4.981 -3.730 -2.778
Sc -6.440 2.210 0.288
Sc -5.710 -0.760 -1.245
```

No. 4
Density functional theory data (PBE) for a geometry-optimized YTm2ZrSc4 structure.

The structure in extended XYZ format:
```
8
Lattice="4.747 0.000 0.000 0.000 4.633 1.111 0.000 2.454 10.176" Properties=species:S:1:pos:R:3 pbc="T T T"
Y 2.373 2.317 0.555
Tm 0.000 2.454 10.176
Tm 2.373 1.227 5.088
Zr 0.000 3.544 5.643
Sc 0.000 5.343 8.353
Sc 4.747 1.745 2.934
Sc 2.374 4.061 3.489
Sc 2.374 3.026 7.798
```

No. 5
Density functional theory data (PBE) for a geometry-optimized Y6Tm3ZrSc2 structure.

The structure in extended XYZ format:
```
12
Lattice="6.001 0.003 0.002 -2.996 5.199 0.002 -1.000 -1.732 11.290" Properties=species:S:1:pos:R:3 pbc="T T T"
Y 2.991 1.752 8.578
Y 2.016 3.490 2.710
Y -0.987 1.718 2.715
Y 0.023 3.467 8.578
Y -0.011 -0.020 8.583
Y 1.981 0.003 2.715
Tm -1.996 3.466 5.646
Tm 4.000 0.004 5.646
Tm 1.002 1.735 5.646
Zr 0.000 0.000 0.000
Sc 0.002 3.467 0.002
Sc 3.002 1.735 0.002
```

No. 6
Density functional theory data (PBE) for a geometry-optimized Y2TmZrSc4 structure.

The structure in extended XYZ format:
```
8
Lattice="-4.430 2.915 0.921 -2.917 -3.558 -2.774 -4.150 -7.392 3.431" Properties=species:S:1:pos:R:3 pbc="T T T"
Y -4.150 -7.392 3.431
Y -4.290 -2.239 2.176
Tm -3.674 -0.322 -0.927
Zr -3.534 -5.475 0.328
Sc -5.277 -8.141 0.379
Sc -6.221 0.105 1.198
Sc -5.463 -3.129 -0.653
Sc -6.035 -4.907 2.230
```

No. 7
Density functional theory data (PBE) for a geometry-optimized TmSc2Zn structure.

The structure in extended XYZ format:
```
4
Lattice="3.263 0.000 0.000 1.631 2.825 0.000 1.631 0.942 10.717" Properties=species:S:1:pos:R:3 pbc="T T T"
Sc 1.631 0.942 7.503
Sc 4.894 2.825 3.214
Zn 3.263 1.884 5.358
Tm 0.000 0.000 0.000
```

* ΔE to the lowest computed polymorph: 325 meV per atom

No. 8
Density functional theory data (PBE) for a geometry-optimized Tm6ScZn2 structure.

The structure in extended XYZ format:
```
9
Lattice="3.483 0.000 0.553 1.537 5.916 1.561 0.006 -0.207 11.204" Properties=species:S:1:pos:R:3 pbc="T T T"
Tm 3.167 2.963 2.538
Tm 1.859 2.746 10.780
Tm 2.303 4.464 7.986
Tm 4.511 4.245 5.320
Tm 0.515 1.464 7.999
Tm 2.724 1.245 5.333
Sc 0.000 0.000 0.000
Zn 1.388 0.551 2.505
Zn 3.639 5.158 10.814
```

Which formation energy from the elements belongs to each record? In order, -0.15, 0.00, 0.06, 0.05, 0.07, 0.11, 0.15, -0.13 eV per atom.
Which VASP energy belongs to each record? In order, -19.1, -18.5, -66.5, -48.9, -72.6, -50.4, -17.8, -36.9 eV/cell.
Which ρ belongs to each record? In order, 6048, 6169, 6959, 5495, 5755, 4796, 5451, 8522 kg/m3.